1.
An optimized crystal structure of GdHoTlPd2, computed with PBE-GGA.

Calculated values
Its uncorrected energy is -5.16 eV per atom. The total magnetic moment is 0.0 μB/cell.

CIF file:
```
data_GdHoTlPd2
_chemical_formula_sum 'Gd2 Ho2 Tl2 Pd4'
_space_group_name_H-M_alt 'A m m 2'
_space_group_IT_number 38
_cell_length_a 3.6690
_cell_length_b 4.1301
_cell_length_c 15.0978
_cell_angle_alpha 90.00
_cell_angle_beta 90.00
_cell_angle_gamma 90.00
loop_
_space_group_symop_operation_xyz
'x,y,z'
'-x,-y,z'
'-x,y,z'
'x,-y,z'
'x,y+1/2,z+1/2'
'-x,-y+1/2,z+1/2'
'-x,y+1/2,z+1/2'
'x,-y+1/2,z+1/2'
loop_
_atom_site_label
_atom_site_type_symbol
_atom_site_fract_x
_atom_site_fract_y
_atom_site_fract_z
_atom_site_occupancy
Gd1 Gd 0.0000 0.0000 0.0000 1
Ho1 Ho 0.0000 0.0000 0.7315 1
Tl1 Tl 0.5000 0.0000 0.3658 1
Pd1 Pd 0.5000 0.0000 0.1767 1
Pd2 Pd 0.5000 0.0000 0.5578 1
```



2.
An optimized crystal structure of DyNi3, computed with PBE-GGA.

Calculated values
The energy of formation is -1.194 eV per formula unit. The total magnetic moment is 0.7 μB/cell.

CIF file:
```
data_DyNi3
_chemical_formula_sum 'Dy2 Ni6'
_space_group_name_H-M_alt 'P 63/m m c'
_space_group_IT_number 194
_space_group_name_Hall '-P 6c 2c'
_cell_length_a 5.6093
_cell_length_b 5.6093
_cell_length_c 4.2295
_cell_angle_alpha 90.00
_cell_angle_beta 90.00
_cell_angle_gamma 120.00
loop_
_atom_site_label
_atom_site_type_symbol
_atom_site_fract_x
_atom_site_fract_y
_atom_site_fract_z
_atom_site_occupancy
Dy1 Dy 0.3333 0.6667 0.2500 1
Ni1 Ni 0.1461 0.2922 0.7500 1
```



3.
An optimized crystal structure of Ta4BiPbN2, computed with PBE-GGA.

Calculated values
Its uncorrected energy is -9.13 eV per atom. The total magnetic moment is 0.0 μB/cell.

CIF file:
```
data_Ta4BiPbN2
_chemical_formula_sum 'Ta4 Bi1 Pb1 N2'
_space_group_name_H-M_alt 'P -6 m 2'
_space_group_IT_number 187
_space_group_name_Hall 'P -6 2'
_cell_length_a 3.3945
_cell_length_b 3.3945
_cell_length_c 13.4721
_cell_angle_alpha 90.00
_cell_angle_beta 90.00
_cell_angle_gamma 120.00
loop_
_atom_site_label
_atom_site_type_symbol
_atom_site_fract_x
_atom_site_fract_y
_atom_site_fract_z
_atom_site_occupancy
Ta1 Ta 0.0000 0.0000 0.1757 1
Ta2 Ta 0.3333 0.6667 0.3230 1
Bi1 Bi 0.0000 0.0000 0.5000 1
Pb1 Pb 0.3333 0.6667 0.0000 1
N1 N 0.6667 0.3333 0.2507 1
```



4.
An optimized crystal structure of LiAgGeTe2Se, computed with PBE-GGA.

Calculated values
Its uncorrected energy is -3.44 eV per atom.

CIF file:
```
data_LiAgGeTe2Se
_chemical_formula_sum 'Li4 Ag4 Ge4 Te8 Se4'
_space_group_name_H-M_alt 'C m c m'
_space_group_IT_number 63
_space_group_name_Hall '-C 2c 2'
_cell_length_a 4.2495
_cell_length_b 12.6873
_cell_length_c 11.2464
_cell_angle_alpha 90.00
_cell_angle_beta 90.00
_cell_angle_gamma 90.00
loop_
_atom_site_label
_atom_site_type_symbol
_atom_site_fract_x
_atom_site_fract_y
_atom_site_fract_z
_atom_site_occupancy
Li1 Li 0.0000 0.1471 0.2500 1
Ag1 Ag 0.0000 0.1041 0.7500 1
Ge1 Ge 0.0000 0.5000 0.0000 1
Te1 Te 0.0000 0.1570 0.5124 1
Se1 Se 0.0000 0.4648 0.7500 1
```



5.
An optimized crystal structure of CsSiAgTe2S, computed with PBE-GGA.

Calculated values
Its uncorrected energy is -3.43 eV per atom.

CIF file:
```
data_CsSiAgTe2S
_chemical_formula_sum 'Cs4 Si4 Ag4 Te8 S4'
_space_group_name_H-M_alt 'C m c m'
_space_group_IT_number 63
_space_group_name_Hall '-C 2c 2'
_cell_length_a 3.8561
_cell_length_b 16.7476
_cell_length_c 11.1739
_cell_angle_alpha 90.00
_cell_angle_beta 90.00
_cell_angle_gamma 90.00
loop_
_atom_site_label
_atom_site_type_symbol
_atom_site_fract_x
_atom_site_fract_y
_atom_site_fract_z
_atom_site_occupancy
Cs1 Cs 0.0000 0.2344 0.2500 1
Si1 Si 0.0000 0.5000 0.0000 1
Ag1 Ag 0.0000 0.0471 0.7500 1
Te1 Te 0.0000 0.1151 0.5271 1
S1 S 0.0000 0.4519 0.7500 1
```



6.
An optimized crystal structure of Pr6Te5S, computed with PBE-GGA.

Calculated values
Its uncorrected energy is -5.59 eV per atom. The total magnetic moment is 0.0 μB/cell.

CIF file:
```
data_Pr6Te5S
_chemical_formula_sum 'Pr12 Te10 S2'
_space_group_name_H-M_alt 'C 1 2/m 1'
_space_group_IT_number 12
_cell_length_a 7.7721
_cell_length_b 13.3988
_cell_length_c 7.7194
_cell_angle_alpha 90.00
_cell_angle_beta 109.26
_cell_angle_gamma 90.00
loop_
_space_group_symop_operation_xyz
'x,y,z'
'-x,-y,-z'
'-x,y,-z'
'x,-y,z'
'x+1/2,y+1/2,z'
'-x+1/2,-y+1/2,-z'
'-x+1/2,y+1/2,-z'
'x+1/2,-y+1/2,z'
loop_
_atom_site_label
_atom_site_type_symbol
_atom_site_fract_x
_atom_site_fract_y
_atom_site_fract_z
_atom_site_occupancy
Pr1 Pr 0.2171 0.0000 0.2660 1
Pr2 Pr 0.2218 0.1490 0.7241 1
Te1 Te 0.0000 0.1778 0.0000 1
Te2 Te 0.0000 0.3360 0.5000 1
Te3 Te 0.0000 0.5000 0.0000 1
S1 S 0.0000 0.0000 0.5000 1
```



7.
An optimized crystal structure of Nb2CuS4, computed with PBE-GGA.

Calculated values
Its uncorrected energy is -6.48 eV per atom. The total magnetic moment is 0.0 μB/cell.

CIF file:
```
data_Nb2CuS4
_chemical_formula_sum 'Nb8 Cu4 S16'
_space_group_name_H-M_alt 'P n m a'
_space_group_IT_number 62
_cell_length_a 11.5210
_cell_length_b 3.3575
_cell_length_c 13.2452
_cell_angle_alpha 90.00
_cell_angle_beta 90.00
_cell_angle_gamma 90.00
loop_
_space_group_symop_operation_xyz
'x,y,z'
'-x,-y,-z'
'-x+1/2,-y,z+1/2'
'x+1/2,y,-z+1/2'
'x+1/2,-y+1/2,-z+1/2'
'-x+1/2,y+1/2,z+1/2'
'-x,y+1/2,-z'
'x,-y+1/2,z'
loop_
_atom_site_label
_atom_site_type_symbol
_atom_site_fract_x
_atom_site_fract_y
_atom_site_fract_z
_atom_site_occupancy
Nb1 Nb 0.0412 0.2500 0.0902 1
Nb2 Nb 0.0661 0.2500 0.5793 1
Cu1 Cu 0.1743 0.2500 0.2632 1
S1 S 0.0241 0.7500 0.7151 1
S2 S 0.1122 0.2500 0.9183 1
S3 S 0.1405 0.7500 0.4599 1
S4 S 0.2078 0.7500 0.1456 1
```



8.
An optimized crystal structure of HfTlTe4Au3, computed with PBE-GGA.

Calculated values
Its distance to the lowest polymorph of the same formula is 10 meV per atom. The total magnetic moment is 0.0 μB/cell.

CIF file:
```
data_HfTlTe4Au3
_chemical_formula_sum 'Hf2 Tl2 Te8 Au6'
_space_group_name_H-M_alt 'P 1 21/m 1'
_space_group_IT_number 11
_cell_length_a 6.4720
_cell_length_b 8.1706
_cell_length_c 10.5785
_cell_angle_alpha 90.00
_cell_angle_beta 106.15
_cell_angle_gamma 90.00
loop_
_space_group_symop_operation_xyz
'x,y,z'
'-x,-y,-z'
'-x,y+1/2,-z'
'x,-y+1/2,z'
loop_
_atom_site_label
_atom_site_type_symbol
_atom_site_fract_x
_atom_site_fract_y
_atom_site_fract_z
_atom_site_occupancy
Hf1 Hf 0.1550 0.2500 0.2959 1
Tl1 Tl 0.2831 0.7500 0.0818 1
Te1 Te 0.1132 0.0223 0.7550 1
Te2 Te 0.2978 0.2500 0.0753 1
Te3 Te 0.4630 0.2500 0.5455 1
Au1 Au 0.2001 0.5448 0.4816 1
Au2 Au 0.3565 0.7500 0.7072 1
```



9.
An optimized crystal structure of Li4CdSi2Au, computed with PBE-GGA.

Calculated values
Its uncorrected energy is -3.17 eV per atom.

CIF file:
```
data_Li4CdSi2Au
_chemical_formula_sum 'Li4 Cd1 Si2 Au1'
_space_group_name_H-M_alt 'P -4 m 2'
_space_group_IT_number 115
_cell_length_a 4.3692
_cell_length_b 4.3692
_cell_length_c 6.1868
_cell_angle_alpha 90.00
_cell_angle_beta 90.00
_cell_angle_gamma 90.00
loop_
_space_group_symop_operation_xyz
'x,y,z'
'y,-x,-z'
'-x,-y,z'
'-y,x,-z'
'-x,y,z'
'-y,-x,-z'
'x,-y,z'
'y,x,-z'
loop_
_atom_site_label
_atom_site_type_symbol
_atom_site_fract_x
_atom_site_fract_y
_atom_site_fract_z
_atom_site_occupancy
Li1 Li 0.0000 0.0000 0.0000 1
Li2 Li 0.0000 0.5000 0.7342 1
Li3 Li 0.5000 0.5000 0.5000 1
Cd1 Cd 0.5000 0.5000 0.0000 1
Si1 Si 0.0000 0.5000 0.2634 1
Au1 Au 0.0000 0.0000 0.5000 1
```



10.
An optimized crystal structure of HoTmAg2Te4, computed with PBE-GGA.

Calculated values
Its uncorrected energy is -4.31 eV per atom. The total magnetic moment is 0.0 μB/cell.

CIF file:
```
data_HoTmAg2Te4
_chemical_formula_sum 'Ho2 Tm2 Ag4 Te8'
_space_group_name_H-M_alt 'C m m 2'
_space_group_IT_number 35
_cell_length_a 10.0012
_cell_length_b 10.0305
_cell_length_c 4.6891
_cell_angle_alpha 90.00
_cell_angle_beta 90.00
_cell_angle_gamma 90.00
loop_
_space_group_symop_operation_xyz
'x,y,z'
'-x,-y,z'
'-x,y,z'
'x,-y,z'
'x+1/2,y+1/2,z'
'-x+1/2,-y+1/2,z'
'-x+1/2,y+1/2,z'
'x+1/2,-y+1/2,z'
loop_
_atom_site_label
_atom_site_type_symbol
_atom_site_fract_x
_atom_site_fract_y
_atom_site_fract_z
_atom_site_occupancy
Ho1 Ho 0.0000 0.0000 0.0000 1
Tm1 Tm 0.0000 0.5000 0.3912 1
Ag1 Ag 0.2500 0.2500 0.1950 1
Te1 Te 0.0000 0.2025 0.4862 1
Te2 Te 0.2001 0.5000 0.9056 1
```



11.
An optimized crystal structure of Tl2InPdBr6, computed with PBE-GGA.

Calculated values
Its uncorrected energy is -2.90 eV per atom.

CIF file:
```
data_Tl2InPdBr6
_chemical_formula_sum 'Tl8 In4 Pd4 Br24'
_space_group_name_H-M_alt 'F m -3 m'
_space_group_IT_number 225
_space_group_name_Hall '-F 4 2 3'
_cell_length_a 10.7939
_cell_length_b 10.7939
_cell_length_c 10.7939
_cell_angle_alpha 90.00
_cell_angle_beta 90.00
_cell_angle_gamma 90.00
loop_
_atom_site_label
_atom_site_type_symbol
_atom_site_fract_x
_atom_site_fract_y
_atom_site_fract_z
_atom_site_occupancy
Tl1 Tl 0.2500 0.2500 0.2500 1
In1 In 0.0000 0.0000 0.0000 1
Pd1 Pd 0.0000 0.0000 0.5000 1
Br1 Br 0.0000 0.0000 0.2547 1
```



12.
An optimized crystal structure of NdDyO4, computed with PBE-GGA.

Calculated values
Its uncorrected energy is -7.75 eV per atom. The total magnetic moment is 0.0 μB/cell.

CIF file:
```
data_NdDyO4
_chemical_formula_sum 'Nd2 Dy2 O8'
_space_group_name_H-M_alt 'C 1 m 1'
_space_group_IT_number 8
_cell_length_a 6.8241
_cell_length_b 3.8018
_cell_length_c 6.2621
_cell_angle_alpha 90.00
_cell_angle_beta 96.71
_cell_angle_gamma 90.00
loop_
_space_group_symop_operation_xyz
'x,y,z'
'x,-y,z'
'x+1/2,y+1/2,z'
'x+1/2,-y+1/2,z'
loop_
_atom_site_label
_atom_site_type_symbol
_atom_site_fract_x
_atom_site_fract_y
_atom_site_fract_z
_atom_site_occupancy
Nd1 Nd 0.0000 0.0000 0.0000 1
Dy1 Dy 0.1281 0.5000 0.5395 1
O1 O 0.1640 0.5000 0.9047 1
O2 O 0.2237 0.0000 0.3407 1
O3 O 0.3985 0.0000 0.2204 1
O4 O 0.4602 0.5000 0.6154 1
```